Entry 1:
Here is Co3Ru after structural relaxation from Alexandria via LeMat-Bulk. Energies are from PBE.

```
Co3Ru
1.0
4.461 0.000 0.000
0.000 8.241 0.000
0.000 0.000 5.110
Ru Co
4 12
Cartesian
0.344 6.181 3.201 Ru
1.886 2.060 0.646 Ru
2.574 6.181 4.464 Ru
4.117 2.060 1.909 Ru
4.098 2.060 4.429 Co
1.142 8.217 1.931 Co
1.142 4.145 1.931 Co
1.089 4.096 4.485 Co
1.089 0.025 4.485 Co
2.593 6.181 1.874 Co
1.867 2.060 3.236 Co
3.372 8.217 0.624 Co
3.372 4.145 0.624 Co
3.319 4.096 3.179 Co
3.319 0.025 3.179 Co
0.363 6.181 0.681 Co
```

energy of formation from the pure elements = 0.120 eV/atom
space group = Pnma



Entry 2:
Here is Co3Ru after structural relaxation from Alexandria via LeMat-Bulk. Energies are from PBE.

```
Co3Ru
1.0
-0.800 -2.116 -1.257
-0.409 0.225 2.546
-7.133 3.565 -1.462
Co Ru
3 1
Cartesian
-0.058 0.029 -0.012 Co
-3.508 1.753 -0.719 Co
-2.323 0.336 0.913 Co
-5.889 2.118 0.182 Ru
```

energy of formation from the pure elements = 0.113 eV/atom
space group = P-6m2



Entry 3:
Here is CoRu3 after structural relaxation from Alexandria via LeMat-Bulk. Energies are from PBE.

```
CoRu3
1.0
4.973 0.002 0.008
-2.250 4.435 0.008
-2.250 -3.667 2.494
Co Ru
1 3
Cartesian
0.000 0.000 0.000 Co
-2.250 0.384 1.251 Ru
1.361 -1.832 1.251 Ru
1.361 2.219 0.008 Ru
```

energy of formation from the pure elements = 0.540 eV/atom
space group = R-3m



Entry 4:
Here is CoRu7 after structural relaxation from Alexandria via LeMat-Bulk. Energies are from PBE.

```
CoRu7
1.0
0.297 -4.658 -2.630
0.923 -4.540 2.689
-3.899 -3.634 0.539
Co Ru
1 7
Cartesian
0.000 0.000 0.000 Co
0.149 -2.329 -1.315 Ru
-1.950 -1.817 0.270 Ru
-1.801 -4.146 -1.045 Ru
0.462 -2.270 1.345 Ru
0.610 -4.599 0.030 Ru
-1.488 -4.087 1.614 Ru
-1.339 -6.416 0.299 Ru
```

energy of formation from the pure elements = 0.164 eV/atom
space group = Fm-3m



Entry 5:
Here is CoRu3 after structural relaxation from Alexandria via LeMat-Bulk. Energies are from PBE.

```
CoRu3
1.0
-4.366 1.018 -0.964
-4.290 -1.578 -0.368
8.712 1.587 5.793
Co Ru
1 3
Cartesian
0.000 0.000 0.000 Co
-6.467 -0.169 0.091 Ru
4.356 0.793 2.896 Ru
6.522 1.196 4.370 Ru
```

energy of formation from the pure elements = 0.149 eV/atom
space group = C2/m



Entry 6:
Here is CoRu3 after structural relaxation from Alexandria via LeMat-Bulk. Energies are from PBE.

```
CoRu3
1.0
2.676 0.000 0.000
1.338 2.317 0.000
-1.338 -0.772 8.605
Co Ru
1 3
Cartesian
0.000 0.000 0.000 Co
0.000 0.000 6.502 Ru
1.338 0.772 4.302 Ru
2.676 1.545 2.103 Ru
```

energy of formation from the pure elements = 0.170 eV/atom
space group = R-3m



Entry 7:
Here is Co3Ru after structural relaxation from Alexandria via LeMat-Bulk. Energies are from PBE.

```
Co3Ru
1.0
-0.277 -3.670 -2.468
3.298 -0.434 2.928
-1.628 -1.009 1.683
Co Ru
3 1
Cartesian
0.000 0.000 0.000 Co
0.835 -0.722 2.306 Co
-0.952 -2.340 -0.393 Co
1.511 -2.052 0.230 Ru
```

energy of formation from the pure elements = 0.153 eV/atom
space group = Cmmm



Entry 8:
Here is Co3Ru after structural relaxation from Alexandria via LeMat-Bulk. Energies are from PBE.

```
Co3Ru
1.0
-2.116 -2.931 1.890
1.641 -2.979 -2.783
3.919 -0.792 3.159
Co Ru
6 2
Cartesian
0.048 -3.474 -0.931 Co
2.350 -2.688 -1.538 Co
0.192 -2.153 1.279 Co
2.494 -1.368 0.672 Co
4.312 -3.085 0.044 Co
2.148 -2.548 2.856 Co
0.551 -1.001 -0.935 Ru
1.991 -3.840 0.676 Ru
```

energy of formation from the pure elements = 0.119 eV/atom
space group = Pmmn



Entry 9:
Here is CoRu3 after structural relaxation from Alexandria via LeMat-Bulk. Energies are from PBE.

```
CoRu3
1.0
-3.416 2.139 1.388
-3.788 -0.593 -1.863
-3.101 -2.055 2.081
Co Ru
1 3
Cartesian
0.000 0.000 0.000 Co
-2.576 -0.127 0.402 Ru
-5.152 -0.255 0.803 Ru
-7.728 -0.382 1.205 Ru
```

energy of formation from the pure elements = 0.484 eV/atom
space group = Fm-3m



Entry 10:
Here is Co3Ru after structural relaxation from Alexandria via LeMat-Bulk. Energies are from PBE.

```
Co3Ru
1.0
2.913 0.000 0.000
0.000 2.913 0.000
0.000 0.000 5.626
Co Ru
3 1
Cartesian
0.000 0.000 0.129 Co
0.000 0.000 2.684 Co
1.456 1.456 1.406 Co
1.456 1.456 4.219 Ru
```

energy of formation from the pure elements = 0.225 eV/atom
space group = P4/mmm



Entry 11:
Here is CoRu3 after structural relaxation from Alexandria via LeMat-Bulk. Energies are from PBE.

```
CoRu3
1.0
-0.185 -1.277 -2.373
-0.256 -3.690 2.005
-4.608 0.398 0.144
Ru Co
3 1
Cartesian
-1.621 -1.716 1.049 Ru
-2.401 -0.439 -1.114 Ru
-4.105 -2.148 -0.063 Ru
-4.602 0.398 0.144 Co
```

energy of formation from the pure elements = 0.079 eV/atom
space group = Pmm2



Entry 12:
Here is CoRu3 after structural relaxation from Alexandria via LeMat-Bulk. Energies are from PBE.

```
CoRu3
1.0
4.759 0.000 0.000
0.000 4.759 0.000
0.000 0.000 4.759
Co Ru
2 6
Cartesian
0.000 0.000 0.000 Co
2.380 2.380 2.380 Co
0.000 1.190 2.380 Ru
0.000 3.570 2.380 Ru
1.190 2.380 0.000 Ru
2.380 0.000 1.190 Ru
2.380 0.000 3.570 Ru
3.570 2.380 0.000 Ru
```

energy of formation from the pure elements = 0.397 eV/atom
space group = Pm-3n